Density functional theory data (GGA-PBE) for Nd5Dy2YTm after structural relaxation.

a b c (Å): 5.6544 10.6381 10.6642
angles (deg): 90.00 90.00 105.41
With the nearest neighbours (Å) after each atom.
Fractional coordinates of all 18 atoms:
Nd1 0.3828 0.7657 0.0206  6 Nd 3.60-3.92, 4 Dy 3.63-3.66, 1 Tm 3.78
Nd2 0.7220 0.4439 0.8140  1 Y 3.08, 1 Dy 3.36, 2 Nd 3.41
Nd3 0.4839 0.9678 0.7445  2 Y 3.25-3.39, 2 Dy 3.53, 2 Nd 3.60-3.63
Nd4 0.2969 0.5937 0.7086  3 Nd 3.41-3.77, 1 Y 3.44, 3 Tm 3.52-3.81, 3 Dy 3.52-3.77
Nd5 0.9849 0.9698 0.5153  2 Y 3.30, 3 Dy 3.46-3.58
Nd6 0.6172 0.2343 0.5206  6 Nd 3.60-3.92, 4 Dy 3.63-3.66, 1 Tm 3.78
Nd7 0.2780 0.5561 0.3140  1 Y 3.08, 1 Dy 3.36, 2 Nd 3.41
Nd8 0.5161 0.0322 0.2445  2 Y 3.25-3.39, 2 Dy 3.53, 2 Nd 3.60-3.63
Nd9 0.7031 0.4063 0.2086  3 Nd 3.41-3.77, 1 Y 3.44, 3 Tm 3.52-3.81, 3 Dy 3.52-3.77
Nd10 0.0151 0.0302 0.0153  2 Y 3.30, 3 Dy 3.46-3.58
Dy1 0.8858 0.7715 0.8072  9 Nd 3.36-3.72, 1 Tm 3.60
Dy2 0.1137 0.2275 0.7381  1 Tm 3.40, 7 Nd 3.55-3.77, 2 Y 3.74
Dy3 0.1142 0.2285 0.3072  9 Nd 3.36-3.72, 1 Tm 3.60
Dy4 0.8863 0.7725 0.2381  1 Tm 3.40, 7 Nd 3.55-3.77, 2 Y 3.74
Y1 0.5938 0.1875 0.9640  6 Nd 3.08-3.44
Y2 0.4062 0.8125 0.4640  6 Nd 3.08-3.44
Tm1 0.8013 0.6025 0.5116  2 Dy 3.40-3.60, 7 Nd 3.52-3.78, 2 Y 3.59
Tm2 0.1987 0.3975 0.0116  2 Dy 3.40-3.60, 7 Nd 3.52-3.78, 2 Y 3.59

Computed properties:
The energy is -85.3 eV for the cell shown.

Density functional theory data (GGA-PBE) for NdDyYTm3 after structural relaxation.

a b c (Å): 5.0133 7.9258 10.0267
angles (deg): 90.00 90.00 108.44
With the nearest neighbours (Å) after each atom.
Fractional coordinates of all 12 atoms:
Nd1 0.5012 0.0023 0.7500  6 Tm 3.54-3.57, 4 Dy 3.54-3.55, 2 Y 3.57
Nd2 0.4988 0.9977 0.2500  6 Tm 3.54-3.57, 4 Dy 3.54-3.55, 2 Y 3.57
Dy1 0.0000 0.0000 0.5000  4 Nd 3.55, 6 Tm 3.55, 2 Y 3.56
Dy2 0.0000 0.0000 0.0000  4 Nd 3.54, 6 Tm 3.55, 2 Y 3.56
Y1 0.8318 0.6636 0.7500  8 Tm 3.52-3.55, 2 Dy 3.56, 2 Nd 3.57
Y2 0.1682 0.3364 0.2500  8 Tm 3.52-3.55, 2 Dy 3.56, 2 Nd 3.57
Tm1 0.6675 0.3351 0.5001  3 Y 3.52-3.55, 5 Tm 3.53-3.54, 2 Nd 3.54-3.57, 2 Dy 3.55
Tm2 0.3325 0.6649 0.4999  3 Y 3.52-3.55, 5 Tm 3.53-3.54, 2 Nd 3.54-3.57, 2 Dy 3.55
Tm3 0.3325 0.6649 0.0001  3 Y 3.52-3.55, 5 Tm 3.53-3.54, 2 Nd 3.54-3.57, 2 Dy 3.55
Tm4 0.6675 0.3351 0.9999  3 Y 3.52-3.55, 5 Tm 3.53-3.54, 2 Nd 3.54-3.57, 2 Dy 3.55
Tm5 0.1676 0.3351 0.7500  2 Y 3.52, 6 Tm 3.53-3.54, 2 Nd 3.54, 2 Dy 3.55
Tm6 0.8324 0.6649 0.2500  2 Y 3.52, 6 Tm 3.53-3.54, 2 Nd 3.54, 2 Dy 3.55

Computed properties:
The energy is -58.2 eV for the cell shown.

Density functional theory data (GGA-PBE) for Nd2DyYTm after structural relaxation.

a b c (Å): 7.2708 8.4049 7.1527
angles (deg): 125.98 90.00 90.00
With the nearest neighbours (Å) after each atom.
Fractional coordinates of all 10 atoms:
Nd1 0.5000 0.3047 0.0000  2 Tm 3.15, 1 Nd 3.28, 2 Dy 3.49
Nd2 0.0000 0.6953 0.0000  2 Tm 3.15, 1 Nd 3.28, 2 Dy 3.49
Nd3 0.5000 0.6953 0.0000  2 Tm 3.15, 1 Nd 3.28, 2 Dy 3.49
Nd4 0.0000 0.3047 0.0000  2 Tm 3.15, 1 Nd 3.28, 2 Dy 3.49
Dy1 0.2500 0.7153 0.4305  1 Tm 3.06
Dy2 0.7500 0.2847 0.5695  1 Tm 3.06
Y1 0.7500 0.7413 0.4826  1 Tm 3.23
Y2 0.2500 0.2587 0.5174  1 Tm 3.23
Tm1 0.2500 0.9798 0.9596  1 Dy 3.06, 4 Nd 3.15, 1 Y 3.23
Tm2 0.7500 0.0202 0.0404  1 Dy 3.06, 4 Nd 3.15, 1 Y 3.23

Computed properties:
The energy is -46.1 eV for the cell shown.

Density functional theory data (GGA-PBE) for NdDy3Y2Tm6 after structural relaxation.

a b c (Å): 6.1146 6.1146 11.6875
angles (deg): 94.99 94.99 119.95
With the nearest neighbours (Å) after each atom.
Fractional coordinates of all 12 atoms:
Nd1 0.0000 0.0000 0.0000  6 Y 3.53, 6 Tm 3.54-3.55
Dy1 0.1669 0.8331 0.5000  6 Tm 3.50-3.51, 6 Dy 3.53
Dy2 0.8331 0.1669 0.5000  6 Tm 3.50-3.51, 6 Dy 3.53
Dy3 0.5000 0.5000 0.5000  6 Tm 3.50-3.51, 6 Dy 3.53
Y1 0.3333 0.6667 0.0000  3 Nd 3.53, 3 Y 3.53, 6 Tm 3.54-3.55
Y2 0.6667 0.3333 0.0000  3 Nd 3.53, 3 Y 3.53, 6 Tm 3.54-3.55
Tm1 0.9151 0.5819 0.7479  3 Dy 3.50-3.51, 6 Tm 3.53, 2 Y 3.54-3.55, 1 Nd 3.55
Tm2 0.7515 0.7515 0.2520  3 Dy 3.51, 6 Tm 3.53, 1 Nd 3.54, 2 Y 3.55
Tm3 0.0849 0.4181 0.2521  3 Dy 3.50-3.51, 6 Tm 3.53, 2 Y 3.54-3.55, 1 Nd 3.55
Tm4 0.5819 0.9151 0.7479  3 Dy 3.50-3.51, 6 Tm 3.53, 2 Y 3.54-3.55, 1 Nd 3.55
Tm5 0.2485 0.2485 0.7480  3 Dy 3.51, 6 Tm 3.53, 1 Nd 3.54, 2 Y 3.55
Tm6 0.4181 0.0849 0.2521  3 Dy 3.50-3.51, 6 Tm 3.53, 2 Y 3.54-3.55, 1 Nd 3.55

Computed properties:
The energy is -58.0 eV for the cell shown.

Density functional theory data (GGA-PBE) for NdDyYTm2 after structural relaxation.

a b c (Å): 7.1977 8.3596 7.0867
angles (deg): 126.14 90.00 90.00
With the nearest neighbours (Å) after each atom.
Fractional coordinates of all 10 atoms:
Nd1 0.2500 0.7263 0.4526  1 Y 3.14
Nd2 0.7500 0.2737 0.5474  1 Y 3.14
Dy1 0.7500 0.7204 0.4408  1 Y 3.20, 4 Tm 3.48
Dy2 0.2500 0.2796 0.5592  1 Y 3.20, 4 Tm 3.48
Y1 0.2500 0.0003 0.0006  1 Nd 3.14, 4 Tm 3.17, 1 Dy 3.20
Y2 0.7500 0.9997 0.9994  1 Nd 3.14, 4 Tm 3.17, 1 Dy 3.20
Tm1 0.5000 0.3118 0.0000  1 Tm 3.15, 2 Y 3.17, 2 Dy 3.48
Tm2 0.0000 0.6882 0.0000  1 Tm 3.15, 2 Y 3.17, 2 Dy 3.48
Tm3 0.5000 0.6882 0.0000  1 Tm 3.15, 2 Y 3.17, 2 Dy 3.48
Tm4 0.0000 0.3118 0.0000  1 Tm 3.15, 2 Y 3.17, 2 Dy 3.48

Computed properties:
The energy is -45.7 eV for the cell shown.

Density functional theory data (GGA-PBE) for Nd2DyY2Tm after structural relaxation.

a b c (Å): 5.6552 9.7884 7.0827
angles (deg): 90.00 90.00 90.00
With the nearest neighbours (Å) after each atom.
Fractional coordinates of all 12 atoms:
Nd1 0.5000 0.1665 0.2491  5 Y 3.26-3.55
Nd2 0.0000 0.6665 0.2509  5 Y 3.26-3.55
Nd3 0.5000 0.8335 0.7509  5 Y 3.26-3.55
Nd4 0.0000 0.3335 0.7491  5 Y 3.26-3.55
Dy1 0.5000 0.5000 0.0000  2 Tm 3.54, 6 Y 3.71-3.72, 6 Nd 3.71-3.72
Dy2 0.0000 0.0000 0.5000  2 Tm 3.54, 6 Y 3.71-3.72, 6 Nd 3.71-3.72
Y1 0.5000 0.8330 0.2500  5 Nd 3.26-3.55
Y2 0.5000 0.1670 0.7500  5 Nd 3.26-3.55
Y3 0.0000 0.6670 0.7500  5 Nd 3.26-3.55
Y4 0.0000 0.3330 0.2500  5 Nd 3.26-3.55
Tm1 0.0000 0.0000 0.0000  2 Dy 3.54, 6 Y 3.71-3.72, 6 Nd 3.71-3.72
Tm2 0.5000 0.5000 0.5000  2 Dy 3.54, 6 Y 3.71-3.72, 6 Nd 3.71-3.72

Computed properties:
The energy is -62.3 eV for the cell shown.

Density functional theory data (GGA-PBE) for Nd2DyYTm5 after structural relaxation.

a b c (Å): 8.5907 8.5907 9.8474
angles (deg): 115.86 115.86 90.00
With the nearest neighbours (Å) after each atom.
Fractional coordinates of all 18 atoms:
Nd1 0.1176 0.3824 0.0000  1 Nd 2.86, 2 Tm 3.00
Nd2 0.6176 0.1176 0.0000  1 Nd 2.86, 2 Tm 3.00
Nd3 0.3824 0.8824 0.0000  1 Nd 2.86, 2 Tm 3.00
Nd4 0.8824 0.6176 0.0000  1 Nd 2.86, 2 Tm 3.00
Dy1 0.2500 0.7500 0.5000  4 Tm 3.09
Dy2 0.7500 0.2500 0.5000  4 Tm 3.09
Y1 0.2500 0.2500 0.5000  10 Tm 3.51-3.88
Y2 0.7500 0.7500 0.5000  10 Tm 3.51-3.88
Tm1 0.9278 0.4278 0.2797  1 Nd 3.00, 1 Dy 3.09
Tm2 0.6481 0.1481 0.7203  1 Nd 3.00, 1 Dy 3.09
Tm3 0.0722 0.5722 0.7203  1 Nd 3.00, 1 Dy 3.09
Tm4 0.1481 0.0722 0.7203  1 Nd 3.00, 1 Dy 3.09
Tm5 0.5722 0.6481 0.7203  1 Nd 3.00, 1 Dy 3.09
Tm6 0.8519 0.9278 0.2797  1 Nd 3.00, 1 Dy 3.09
Tm7 0.4278 0.3519 0.2797  1 Nd 3.00, 1 Dy 3.09
Tm8 0.3519 0.8519 0.2797  1 Nd 3.00, 1 Dy 3.09
Tm9 0.5000 0.5000 0.0000  4 Nd 3.44, 8 Tm 3.76
Tm10 0.0000 0.0000 0.0000  4 Nd 3.44, 8 Tm 3.76

Computed properties:
The energy is -81.1 eV for the cell shown.

Density functional theory data (GGA-PBE) for Nd6Dy2YTm after structural relaxation.

a b c (Å): 9.6492 8.9835 8.9835
angles (deg): 118.07 93.72 93.72
With the nearest neighbours (Å) after each atom.
Fractional coordinates of all 20 atoms:
Nd1 0.0533 0.1206 0.7622  7 Nd 3.46-3.81, 1 Dy 3.49, 2 Y 3.69-3.85
Nd2 0.4467 0.2378 0.8794  7 Nd 3.46-3.81, 1 Dy 3.49, 2 Y 3.69-3.85
Nd3 0.9467 0.8794 0.2378  7 Nd 3.46-3.81, 1 Dy 3.49, 2 Y 3.69-3.85
Nd4 0.5533 0.7622 0.1206  7 Nd 3.46-3.81, 1 Dy 3.49, 2 Y 3.69-3.85
Nd5 0.3108 0.9903 0.4353  3 Nd 3.30-3.68, 1 Dy 3.47, 1 Tm 3.48, 1 Y 3.62
Nd6 0.1892 0.5647 0.0097  3 Nd 3.30-3.68, 1 Dy 3.47, 1 Tm 3.48, 1 Y 3.62
Nd7 0.6892 0.0097 0.5647  3 Nd 3.30-3.68, 1 Dy 3.47, 1 Tm 3.48, 1 Y 3.62
Nd8 0.8108 0.4353 0.9903  3 Nd 3.30-3.68, 1 Dy 3.47, 1 Tm 3.48, 1 Y 3.62
Nd9 0.1175 0.7096 0.4937  3 Dy 3.29-3.48, 4 Nd 3.30-3.67, 2 Tm 3.45-3.57
Nd10 0.3825 0.5063 0.2904  3 Dy 3.29-3.48, 4 Nd 3.30-3.67, 2 Tm 3.45-3.57
Nd11 0.8825 0.2904 0.5063  3 Dy 3.29-3.48, 4 Nd 3.30-3.67, 2 Tm 3.45-3.57
Nd12 0.6175 0.4937 0.7096  3 Dy 3.29-3.48, 4 Nd 3.30-3.67, 2 Tm 3.45-3.57
Dy1 0.4547 0.7992 0.6978  5 Nd 3.29-3.49, 2 Y 3.44-3.46, 1 Tm 3.55
Dy2 0.0453 0.3022 0.2008  5 Nd 3.29-3.49, 2 Y 3.44-3.46, 1 Tm 3.55
Dy3 0.5453 0.2008 0.3022  5 Nd 3.29-3.49, 2 Y 3.44-3.46, 1 Tm 3.55
Dy4 0.9547 0.6978 0.7992  5 Nd 3.29-3.49, 2 Y 3.44-3.46, 1 Tm 3.55
Y1 0.2500 0.9740 0.0260  4 Dy 3.44-3.46, 6 Nd 3.62-3.85
Y2 0.7500 0.0260 0.9740  4 Dy 3.44-3.46, 6 Nd 3.62-3.85
Tm1 0.2500 0.4120 0.5880  6 Nd 3.45-3.57, 2 Dy 3.55
Tm2 0.7500 0.5880 0.4120  6 Nd 3.45-3.57, 2 Dy 3.55

Computed properties:
The energy is -95.2 eV for the cell shown.

Density functional theory data (GGA-PBE) for Nd2Dy5YTm after structural relaxation.

a b c (Å): 8.6036 8.6036 9.9813
angles (deg): 115.53 115.53 90.00
With the nearest neighbours (Å) after each atom.
Fractional coordinates of all 18 atoms:
Nd1 0.1184 0.3816 0.0000  1 Nd 2.88, 2 Dy 3.02
Nd2 0.6184 0.1184 0.0000  1 Nd 2.88, 2 Dy 3.02
Nd3 0.3816 0.8816 0.0000  1 Nd 2.88, 2 Dy 3.02
Nd4 0.8816 0.6184 0.0000  1 Nd 2.88, 2 Dy 3.02
Dy1 0.9272 0.4272 0.2819  1 Nd 3.02, 1 Tm 3.12
Dy2 0.6454 0.1454 0.7181  1 Nd 3.02, 1 Tm 3.12
Dy3 0.0728 0.5728 0.7181  1 Nd 3.02, 1 Tm 3.12
Dy4 0.1454 0.0728 0.7181  1 Nd 3.02, 1 Tm 3.12
Dy5 0.5728 0.6454 0.7181  1 Nd 3.02, 1 Tm 3.12
Dy6 0.8546 0.9272 0.2819  1 Nd 3.02, 1 Tm 3.12
Dy7 0.4272 0.3546 0.2819  1 Nd 3.02, 1 Tm 3.12
Dy8 0.3546 0.8546 0.2819  1 Nd 3.02, 1 Tm 3.12
Dy9 0.5000 0.5000 0.0000  4 Nd 3.44, 8 Dy 3.80
Dy10 0.0000 0.0000 0.0000  4 Nd 3.44, 8 Dy 3.80
Y1 0.2500 0.2500 0.5000  8 Dy 3.53
Y2 0.7500 0.7500 0.5000  8 Dy 3.53
Tm1 0.2500 0.7500 0.5000  4 Dy 3.12
Tm2 0.7500 0.2500 0.5000  4 Dy 3.12

Computed properties:
The energy is -82.0 eV for the cell shown.

Density functional theory data (GGA-PBE) for Nd2Dy2Y4Tm after structural relaxation.

a b c (Å): 3.6130 9.5396 9.5968
angles (deg): 115.19 90.00 100.92
With the nearest neighbours (Å) after each atom.
Fractional coordinates of all 9 atoms:
Nd1 0.3349 0.6699 0.0027  3 Y 3.54-3.58, 3 Dy 3.57-3.60, 2 Tm 3.59, 4 Nd 3.61-3.64
Nd2 0.6651 0.3301 0.9973  3 Y 3.54-3.58, 3 Dy 3.57-3.60, 2 Tm 3.59, 4 Nd 3.61-3.64
Dy1 0.8524 0.7047 0.3362  7 Y 3.52-3.62, 3 Nd 3.57-3.60, 2 Dy 3.61
Dy2 0.1476 0.2953 0.6638  7 Y 3.52-3.62, 3 Nd 3.57-3.60, 2 Dy 3.61
Y1 0.8145 0.6291 0.6654  3 Dy 3.52-3.61, 6 Y 3.54-3.61, 1 Tm 3.56, 2 Nd 3.58
Y2 0.1855 0.3709 0.3346  3 Dy 3.52-3.61, 6 Y 3.54-3.61, 1 Tm 3.56, 2 Nd 3.58
Y3 0.5193 0.0386 0.3347  4 Dy 3.53-3.62, 1 Nd 3.54, 5 Y 3.55-3.61, 2 Tm 3.56
Y4 0.4807 0.9614 0.6653  4 Dy 3.53-3.62, 1 Nd 3.54, 5 Y 3.55-3.61, 2 Tm 3.56
Tm1 0.0000 0.0000 0.0000  6 Y 3.56, 4 Nd 3.59, 2 Tm 3.61

Computed properties:
The energy is -49.1 eV for the cell shown.

Density functional theory data (GGA-PBE) for Nd2Dy2YTm after structural relaxation.

a b c (Å): 6.8074 8.9052 6.5620
angles (deg): 94.99 90.00 90.00
With the nearest neighbours (Å) after each atom.
Fractional coordinates of all 12 atoms:
Nd1 0.2500 0.1494 0.6758  1 Nd 3.39, 3 Y 3.40-3.41, 6 Dy 3.55-3.76
Nd2 0.2500 0.5192 0.5890  2 Tm 3.22-3.35, 3 Nd 3.39-3.60, 2 Dy 3.52, 1 Y 3.53
Nd3 0.7500 0.8506 0.3242  1 Nd 3.39, 3 Y 3.40-3.41, 6 Dy 3.55-3.76
Nd4 0.7500 0.4808 0.4110  2 Tm 3.22-3.35, 3 Nd 3.39-3.60, 2 Dy 3.52, 1 Y 3.53
Dy1 0.4994 0.1701 0.1670  3 Dy 3.40-3.58, 1 Tm 3.48, 4 Nd 3.52-3.76, 3 Y 3.56-3.78
Dy2 0.0006 0.1701 0.1670  3 Dy 3.40-3.58, 1 Tm 3.48, 4 Nd 3.52-3.76, 3 Y 3.56-3.78
Dy3 0.9994 0.8299 0.8330  3 Dy 3.40-3.58, 1 Tm 3.48, 4 Nd 3.52-3.76, 3 Y 3.56-3.78
Dy4 0.5006 0.8299 0.8330  3 Dy 3.40-3.58, 1 Tm 3.48, 4 Nd 3.52-3.76, 3 Y 3.56-3.78
Y1 0.7500 0.1533 0.6790  1 Tm 3.37, 4 Nd 3.40-3.53, 4 Dy 3.56-3.62
Y2 0.2500 0.8467 0.3210  1 Tm 3.37, 4 Nd 3.40-3.53, 4 Dy 3.56-3.62
Tm1 0.2500 0.4984 0.0763  2 Nd 3.22-3.35, 1 Y 3.37, 2 Dy 3.48, 2 Tm 3.55
Tm2 0.7500 0.5016 0.9237  2 Nd 3.22-3.35, 1 Y 3.37, 2 Dy 3.48, 2 Tm 3.55

Computed properties:
The energy is -57.7 eV for the cell shown.

Density functional theory data (GGA-PBE) for Nd5DyY2Tm after structural relaxation.

a b c (Å): 5.6791 10.6030 10.6787
angles (deg): 90.00 90.00 105.53
With the nearest neighbours (Å) after each atom.
Fractional coordinates of all 18 atoms:
Nd1 0.3854 0.7708 0.0207  6 Nd 3.57-3.92, 4 Y 3.62-3.66, 1 Tm 3.80
Nd2 0.7200 0.4400 0.8137  1 Dy 3.06, 1 Y 3.38
Nd3 0.4834 0.9668 0.7442  2 Dy 3.23-3.37, 2 Y 3.55, 2 Nd 3.57-3.59
Nd4 0.2973 0.5946 0.7067  1 Dy 3.44, 4 Nd 3.44-3.82, 3 Tm 3.53-3.82, 3 Y 3.54-3.78
Nd5 0.9827 0.9653 0.5167  2 Dy 3.27, 3 Y 3.48-3.57
Nd6 0.6146 0.2292 0.5207  6 Nd 3.57-3.92, 4 Y 3.62-3.66, 1 Tm 3.80
Nd7 0.2800 0.5600 0.3137  1 Dy 3.06, 1 Y 3.38
Nd8 0.5166 0.0332 0.2442  2 Dy 3.23-3.37, 2 Y 3.55, 2 Nd 3.57-3.59
Nd9 0.7027 0.4054 0.2067  1 Dy 3.44, 4 Nd 3.44-3.82, 3 Tm 3.53-3.82, 3 Y 3.54-3.78
Nd10 0.0173 0.0347 0.0167  2 Dy 3.27, 3 Y 3.48-3.57
Dy1 0.5921 0.1843 0.9634  5 Nd 3.06-3.37
Dy2 0.4079 0.8157 0.4634  5 Nd 3.06-3.37
Y1 0.8853 0.7707 0.8109  9 Nd 3.38-3.72, 1 Tm 3.64
Y2 0.1130 0.2261 0.7367  1 Tm 3.42, 7 Nd 3.55-3.78, 2 Dy 3.76
Y3 0.1147 0.2293 0.3109  9 Nd 3.38-3.72, 1 Tm 3.64
Y4 0.8870 0.7739 0.2367  1 Tm 3.42, 7 Nd 3.55-3.78, 2 Dy 3.76
Tm1 0.8007 0.6014 0.5110  2 Y 3.42-3.64, 8 Nd 3.53-3.82, 2 Dy 3.62
Tm2 0.1993 0.3986 0.0110  2 Y 3.42-3.64, 8 Nd 3.53-3.82, 2 Dy 3.62

Computed properties:
The energy is -89.2 eV for the cell shown.

- energy of number 10 (Nd2Dy2Y4Tm)?
  -49.1 eV for the cell shown

- Among the records above, which one has the lowest energy?
  Nd6Dy2YTm

- Which formula does entry 6 have?
  Nd2DyY2Tm

- Among the records above, which one has the highest energy?
  NdDyYTm2